The following is a DFT calculation (PBE) of Ni2Sb2As after structural relaxation.

Cell and atoms, written as POSCAR:
```
Ni2Sb2As
1.0
-2.1988 6.4899 -1.4796
-3.9965 -2.5333 -5.1724
-2.7451 -0.4016 2.3177
Sb As Ni
4 2 4
Direct
0.8347 0.3347 0.5000
0.3347 0.1653 0.5000
0.1653 0.6653 0.5000
0.6653 0.8347 0.5000
0.0000 0.0000 0.0000
0.5000 0.5000 0.0000
0.3706 0.8706 0.0000
0.8706 0.6294 0.0000
0.6294 0.1294 0.0000
0.1294 0.3706 0.0000
```

Spin magnetization in μB/atom: 0.000
E_form (uncorrected) in eV/atom: 0.077
DOS(E_F) in states/eV/atom: 0.442
V in Å³/cell: 177.7
Calculated total energy in eV/atom: -4.81
ρ in g cm⁻³: 8.15
Space-group type: P4/mbm, No. 127